Entry from Alexandria via LeMat-Bulk: a crystal of Cd2ReAgPb relaxed with PBEsol (meta-GGA SCAN).

Values from the calculation:
The total magnetic moment comes out at 0.0 Bohr magnetons per cell. The symmetry is P4/mmm (123). The calculation puts the formation enthalpy at 0 K at 1.164 eV/atom.

Geometry as CIF:
```
data_Cd2ReAgPb
_cell_length_a 4.9901
_cell_length_b 5.1273
_cell_length_c 5.1273
_cell_angle_alpha 90.00
_cell_angle_beta 90.00
_cell_angle_gamma 90.00
_space_group_name_H-M_alt 'P 1'
_space_group_IT_number 1
loop_
_space_group_symop_operation_xyz
'x,y,z'
loop_
_atom_site_label
_atom_site_type_symbol
_atom_site_fract_x
_atom_site_fract_y
_atom_site_fract_z
Cd1 Cd 0.0000 0.5000 0.0000
Cd2 Cd 0.0000 0.0000 0.5000
Pb1 Pb 0.5000 0.5000 0.5000
Ag1 Ag 0.5000 0.0000 0.0000
Re1 Re 0.0000 0.0000 0.0000
```



Entry from Alexandria via LeMat-Bulk: a crystal of GaSb2AuI relaxed with PBEsol (meta-GGA SCAN).

Values from the calculation:
The total magnetic moment comes out at 0.0 Bohr magnetons per cell. The symmetry is P4/mmm (123). The value obtained for the raw formation energy is 0.791 eV/atom.

Geometry as CIF:
```
data_GaSb2AuI
_cell_length_a 5.2392
_cell_length_b 5.2392
_cell_length_c 5.3010
_cell_angle_alpha 90.00
_cell_angle_beta 90.00
_cell_angle_gamma 90.00
_space_group_name_H-M_alt 'P 1'
_space_group_IT_number 1
loop_
_space_group_symop_operation_xyz
'x,y,z'
loop_
_atom_site_label
_atom_site_type_symbol
_atom_site_fract_x
_atom_site_fract_y
_atom_site_fract_z
Sb1 Sb 0.0000 0.5000 0.0000
Sb2 Sb 0.5000 0.0000 0.0000
Ga1 Ga 0.0000 0.0000 0.0000
Au1 Au 0.5000 0.5000 0.5000
I1 I 0.0000 0.0000 0.5000
```



Entry from Alexandria via LeMat-Bulk: a crystal of TaNbOs3 relaxed with PBEsol (meta-GGA SCAN).

Values from the calculation:
The total magnetic moment comes out at 0.9 Bohr magnetons per cell. Its offset from the most stable computed form is 0 meV per atom. The symmetry is Pm-3m (221). The calculation puts the formation enthalpy at 0 K at 1.999 eV/atom.

Geometry as CIF:
```
data_TaNbOs3
_cell_length_a 4.6299
_cell_length_b 4.6299
_cell_length_c 4.6299
_cell_angle_alpha 90.00
_cell_angle_beta 90.00
_cell_angle_gamma 90.00
_space_group_name_H-M_alt 'P 1'
_space_group_IT_number 1
loop_
_space_group_symop_operation_xyz
'x,y,z'
loop_
_atom_site_label
_atom_site_type_symbol
_atom_site_fract_x
_atom_site_fract_y
_atom_site_fract_z
Os1 Os 0.5000 0.0000 0.0000
Os2 Os 0.0000 0.0000 0.5000
Os3 Os 0.0000 0.5000 0.0000
Nb1 Nb 0.5000 0.5000 0.5000
Ta1 Ta 0.0000 0.0000 0.0000
```



Looking at total energy for the records above, in order, we have -46.65, -38.56, -61.07 eV/atom.